{"formula": "InHPt", "functional": "PBE-GGA", "state": "optimized geometry", "cell": [[4.0300, 0.0000, 0.0000], [0.0000, 3.4672, 0.0000], [0.0000, -1.7336, 3.0027]], "species": ["H", "Pt", "In"], "fractional_positions": [[0.1667, 0.6667, 0.3333], [0.1667, 0.0000, 0.0000], [0.6667, 0.3333, 0.6667]], "magmom_total_mub_per_cell": 0.0, "rho_g_cm3": 12.31, "spacegroup": "P-6m2", "e_above_lowest_polymorph_mev_per_atom": 160.4}

---

{"formula": "SrCeB2O6", "functional": "PBE-GGA", "state": "optimized geometry", "cell": [[-4.5176, 3.9462, 2.3240], [-3.1035, -2.3313, -5.1298], [-0.2553, -5.1480, 4.2871]], "species": ["Sr", "Sr", "Ce", "Ce", "B", "B", "B", "B", "O", "O", "O", "O", "O", "O", "O", "O", "O", "O", "O", "O"], "fractional_positions": [[0.1495, 0.8505, 0.2500], [0.8505, 0.1495, 0.7500], [0.6027, 0.3973, 0.2500], [0.3973, 0.6027, 0.7500], [0.3594, 0.1380, 0.7293], [0.8620, 0.6406, 0.7707], [0.6406, 0.8620, 0.2707], [0.1380, 0.3594, 0.2293], [0.9275, 0.3844, 0.1725], [0.6156, 0.0725, 0.3275], [0.0725, 0.6156, 0.8275], [0.3844, 0.9275, 0.6725], [0.2119, 0.1944, 0.1201], [0.8056, 0.7881, 0.3799], [0.7881, 0.8056, 0.8799], [0.1944, 0.2119, 0.6201], [0.2955, 0.5234, 0.3877], [0.4766, 0.7045, 0.1123], [0.7045, 0.4766, 0.6123], [0.5234, 0.2955, 0.8877]], "magmom_total_mub_per_cell": 0.0, "rho_g_cm3": 4.45, "spacegroup": "C2/c", "dft_energy_ry_per_atom": -0.58531}

---

{"formula": "Na2AcSm3Se6", "functional": "PBE-GGA", "state": "optimized geometry", "cell": [[7.2952, -0.0007, 0.0006], [-3.6464, 6.3185, 0.0006], [-1.2167, -2.1067, 7.1357]], "species": ["Na", "Na", "Ac", "Sm", "Sm", "Sm", "Se", "Se", "Se", "Se", "Se", "Se"], "fractional_positions": [[0.3333, 0.6667, 0.0000], [0.6667, 0.3333, 0.0000], [0.0000, 0.0000, 0.0000], [0.1669, 0.8331, 0.5000], [0.8331, 0.1669, 0.5000], [0.5000, 0.5000, 0.5000], [0.9131, 0.5748, 0.7392], [0.7490, 0.7490, 0.2614], [0.0869, 0.4252, 0.2608], [0.5748, 0.9131, 0.7392], [0.2510, 0.2510, 0.7386], [0.4252, 0.0869, 0.2608]], "magmom_total_mub_per_cell": 0.0, "rho_g_cm3": 6.05, "spacegroup": "C2/m", "dft_energy_ry_per_atom": -0.38440}

---

{"formula": "RuRh3W", "functional": "PBE-GGA", "state": "optimized geometry", "cell": [[-3.4912, -2.0578, 2.1259], [0.0166, -3.3016, -3.1688], [2.9587, -2.4097, 2.5262]], "species": ["Ru", "Rh", "Rh", "Rh", "W"], "fractional_positions": [[0.0000, 0.0000, 0.0000], [0.0000, 0.5000, 0.0000], [0.0000, 0.0000, 0.5000], [0.5000, 0.0000, 0.0000], [0.5000, 0.5000, 0.5000]], "magmom_total_mub_per_cell": 0.0, "rho_g_cm3": 10.29, "spacegroup": "Pm-3m", "e_above_lowest_polymorph_mev_per_atom": 730.7, "delta_e_f_kcal_per_mol_atoms": 44.68}

---

{"formula": "Ca2PbO", "functional": "PBE-GGA", "state": "optimized geometry", "cell": [[-2.8935, 1.4202, -0.2177], [-1.3922, -2.8923, -0.3652], [-0.8630, -0.5663, 7.7749]], "species": ["Pb", "Ca", "Ca", "O"], "fractional_positions": [[0.5000, 0.5000, 0.5000], [0.0000, 0.0000, 0.8142], [0.0000, 0.0000, 0.1858], [0.5000, 0.5000, 0.0000]], "magmom_total_mub_per_cell": 0.0, "rho_g_cm3": 6.15, "spacegroup": "P4/mmm", "e_above_lowest_polymorph_mev_per_atom": 327.6}

---

{"formula": "Sr3LiAc3Te8", "functional": "PBE-GGA", "state": "optimized geometry", "cell": [[9.4326, 0.0000, 0.0000], [-4.7163, 8.1689, -0.0282], [0.0000, -5.4192, 7.7537]], "species": ["Sr", "Sr", "Sr", "Li", "Ac", "Ac", "Ac", "Te", "Te", "Te", "Te", "Te", "Te", "Te", "Te"], "fractional_positions": [[0.0000, 0.0000, 0.0000], [0.0000, 0.5000, 0.0000], [0.5000, 0.5000, 0.0000], [0.0000, 0.0000, 0.5000], [0.5000, 0.0000, 0.5000], [0.5000, 0.5000, 0.5000], [0.0000, 0.5000, 0.5000], [0.2494, 0.4988, 0.2482], [0.7506, 0.5012, 0.7518], [0.7591, 0.5182, 0.2630], [0.2409, 0.4818, 0.7370], [0.7590, 0.0039, 0.2628], [0.2410, 0.9961, 0.7372], [0.2449, 0.0039, 0.2628], [0.7551, 0.9961, 0.7372]], "magmom_total_mub_per_cell": 0.0, "rho_g_cm3": 5.49, "spacegroup": "R-3m", "dft_energy_ry_per_atom": -0.32846}

---

{"formula": "Mg2TiHAu", "functional": "PBE-GGA", "state": "optimized geometry", "cell": [[4.3830, 0.0000, 0.0000], [0.0000, 4.3830, 0.0000], [0.0000, 0.0000, 3.8253]], "species": ["H", "Mg", "Mg", "Au", "Ti"], "fractional_positions": [[0.0000, 0.0000, 0.0000], [0.0000, 0.5000, 0.0000], [0.5000, 0.0000, 0.0000], [0.5000, 0.5000, 0.5000], [0.0000, 0.0000, 0.5000]], "magmom_total_mub_per_cell": 0.0, "rho_g_cm3": 6.65, "spacegroup": "P4/mmm", "dft_energy_ry_per_atom": -0.27915}

---

{"formula": "CeTmNi", "functional": "PBE-GGA", "state": "optimized geometry", "cell": [[3.7148, 0.0000, 0.0000], [-1.8574, 3.2171, 0.0000], [0.0000, 0.0000, 6.2938]], "species": ["Ni", "Tm", "Ce"], "fractional_positions": [[0.6667, 0.3333, 0.3363], [0.0000, 0.0000, 0.0689], [0.3333, 0.6667, 0.5948]], "magmom_total_mub_per_cell": 0.6, "rho_g_cm3": 8.12, "spacegroup": "P3m1", "e_above_lowest_polymorph_mev_per_atom": 167.5, "delta_e_f_kcal_per_mol_atoms": -2.34}